1.
A geometry-optimized Nd2Ho2Tm3 structure, computed with GGA-PBE.

Lattice parameters (Å, degrees): 8.3948 8.3948 8.3948 109.47 109.47 109.47
Last column: nearest neighbours and their distance in Å.
Fractional coordinates of all 14 atoms:
Nd 0.0000 0.0000 0.8133  1 Ho 3.35, 3 Tm 3.47, 3 Nd 3.54
Nd 0.5000 0.8133 0.5000  1 Ho 3.35, 3 Tm 3.47, 3 Nd 3.54
Nd 0.1867 0.6867 0.6867  1 Ho 3.35, 3 Tm 3.47, 3 Nd 3.54
Nd 0.3133 0.5000 0.0000  1 Ho 3.35, 3 Tm 3.47, 3 Nd 3.54
Ho 0.0000 0.0000 0.4145  6 Tm 3.22-3.27, 1 Nd 3.35
Ho 0.5000 0.4145 0.5000  6 Tm 3.22-3.27, 1 Nd 3.35
Ho 0.5855 0.0855 0.0855  6 Tm 3.22-3.27, 1 Nd 3.35
Ho 0.9145 0.5000 0.0000  6 Tm 3.22-3.27, 1 Nd 3.35
Tm 0.6949 0.7500 0.9449  4 Ho 3.22-3.27, 2 Nd 3.47
Tm 0.8051 0.2500 0.5551  4 Ho 3.22-3.27, 2 Nd 3.47
Tm 0.0551 0.3051 0.2500  4 Ho 3.22-3.27, 2 Nd 3.47
Tm 0.4449 0.1949 0.7500  4 Ho 3.22-3.27, 2 Nd 3.47
Tm 0.2500 0.9449 0.1949  4 Ho 3.22-3.27, 2 Nd 3.47
Tm 0.7500 0.5551 0.3051  4 Ho 3.22-3.27, 2 Nd 3.47

Summary:
Its crystal system is cubic.

2.
A geometry-optimized Ho4Tm2Sc structure, computed with GGA-PBE.

Lattice parameters (Å, degrees): 6.0439 6.4137 11.2457 90.00 105.46 90.00
Last column: nearest neighbours and their distance in Å.
Fractional coordinates of all 14 atoms:
Ho 0.6452 0.5035 0.2866  5 Ho 3.16-3.44, 1 Sc 3.30, 3 Tm 3.40-3.53
Ho 0.0325 0.7500 0.8670  3 Sc 3.20-3.40, 3 Tm 3.29-3.43, 2 Ho 3.35
Ho 0.9675 0.2500 0.1330  3 Sc 3.20-3.40, 3 Tm 3.29-3.43, 2 Ho 3.35
Ho 0.6452 0.9965 0.2866  5 Ho 3.16-3.44, 1 Sc 3.30, 3 Tm 3.40-3.53
Ho 0.8538 0.2500 0.5603  1 Sc 3.15, 4 Tm 3.33-3.37, 4 Ho 3.41-3.44
Ho 0.3548 0.0035 0.7134  5 Ho 3.16-3.44, 1 Sc 3.30, 3 Tm 3.40-3.53
Ho 0.3548 0.4965 0.7134  5 Ho 3.16-3.44, 1 Sc 3.30, 3 Tm 3.40-3.53
Ho 0.1462 0.7500 0.4397  1 Sc 3.15, 4 Tm 3.33-3.37, 4 Ho 3.41-3.44
Tm 0.6122 0.7500 0.0017  6 Ho 3.29-3.59, 2 Sc 3.32-3.65, 2 Tm 3.48
Tm 0.3878 0.2500 0.9983  6 Ho 3.29-3.59, 2 Sc 3.32-3.65, 2 Tm 3.48
Tm 0.2855 0.2500 0.4247  9 Ho 3.33-3.53
Tm 0.7145 0.7500 0.5753  9 Ho 3.33-3.53
Sc 0.1594 0.7500 0.1617  6 Ho 3.15-3.40, 1 Tm 3.32
Sc 0.8406 0.2500 0.8383  6 Ho 3.15-3.40, 1 Tm 3.32

Summary:
Its crystal system is monoclinic.

3.
A geometry-optimized TcRuN2 structure, computed with GGA-PBE.

Lattice parameters (Å, degrees): 6.7658 6.7658 6.7658 23.67 23.67 23.67
Last column: nearest neighbours and their distance in Å.
Fractional coordinates of all 4 atoms:
Ru 0.0000 0.0000 0.0000  2 N 1.94
Tc 0.5000 0.5000 0.5000  6 N 2.09
N 0.9014 0.9014 0.9014  1 Ru 1.94, 3 Tc 2.09
N 0.0986 0.0986 0.0986  1 Ru 1.94, 3 Tc 2.09

Summary:
Its crystal system is trigonal.

4.
A geometry-optimized Nd4Y2Ho structure, computed with GGA-PBE.

Lattice parameters (Å, degrees): 3.6023 11.1836 12.3328 90.00 90.00 99.27
Last column: nearest neighbours and their distance in Å.
Fractional coordinates of all 14 atoms:
Nd 0.7379 0.4758 0.1217  3 Nd 3.16-3.54, 3 Y 3.29-3.45
Nd 0.7379 0.4758 0.3783  3 Nd 3.16-3.54, 3 Y 3.29-3.45
Nd 0.2621 0.5242 0.8783  3 Nd 3.16-3.54, 3 Y 3.29-3.45
Nd 0.2621 0.5242 0.6217  3 Nd 3.16-3.54, 3 Y 3.29-3.45
Nd 0.9392 0.8784 0.7500  2 Y 3.53, 6 Nd 3.60-3.81
Nd 0.0608 0.1216 0.2500  2 Y 3.53, 6 Nd 3.60-3.81
Nd 0.5000 0.0000 0.0000  4 Y 3.33, 2 Nd 3.60
Nd 0.5000 0.0000 0.5000  4 Y 3.33, 2 Nd 3.60
Y 0.1267 0.2533 0.5104  6 Nd 3.29-3.53, 2 Ho 3.50, 2 Y 3.60
Y 0.8733 0.7467 0.0104  6 Nd 3.29-3.53, 2 Ho 3.50, 2 Y 3.60
Y 0.1267 0.2533 0.9896  6 Nd 3.29-3.53, 2 Ho 3.50, 2 Y 3.60
Y 0.8733 0.7467 0.4896  6 Nd 3.29-3.53, 2 Ho 3.50, 2 Y 3.60
Ho 0.6042 0.2084 0.7500  4 Y 3.50, 2 Ho 3.60, 2 Nd 3.85
Ho 0.3958 0.7916 0.2500  4 Y 3.50, 2 Ho 3.60, 2 Nd 3.85

Summary:
Its crystal system is orthorhombic.

Calculated values (Ry/atom) of energy for the records, taken in order: -0.321, -0.342, -0.645, -0.369.
Calculated values (eV per atom) of energy above the lowest structure with this stoichiometry for the records, taken in order: 0.088, 0.000, 0.000, 0.000.